VASP calculation (GGA-PBE) on crystalline Tb3Nd2Dy2 at its relaxed geometry.

As for the formation energy: 0.13 eV/atom.

The space group is C2/m (No. 12) and the conventional cell measures 16.727, 3.515 and 8.774 Å, with angles of 90.00, 116.02 and 90.00 degrees. The distinct sites, in fractional coordinates, are Tb at (0.000, 0.000, 0.000), Tb at (0.221, 0.000, 0.148), Nd at (0.079, 0.000, 0.701) and Dy at (0.139, 0.500, 0.407).